# 1
Here is a geometry-optimized Tb2GaAu8 structure from Alexandria. Energies are from PBE.

Values from the calculation:
Crystal system: orthorhombic
Calculated formation energy, eV per formula unit: -5.66

Cell: 5.0669 6.7801 7.7430 Å, 116.01 109.10 90.00°
With the nearest neighbours (Å) after each atom.
Atoms (fractional coordinates):
Tb  0.7948  0.2944  0.5895  10 Au 2.98-3.09
Tb  0.2052  0.7056  0.4105  10 Au 2.98-3.09
Ga  0.5000  0.0000  0.0000  4 Au 2.55
Au  0.3774  0.5840  0.7549  1 Ga 2.55, 1 Au 2.80
Au  0.6222  0.8284  0.2445  1 Ga 2.55, 1 Au 2.80
Au  0.8268  0.8263  0.6535  4 Au 2.93-3.00, 2 Tb 2.98
Au  0.0000  0.2767  0.0000  7 Au 2.93-3.03, 2 Tb 3.06, 2 Ga 3.15
Au  0.1732  0.1737  0.3465  4 Au 2.93-3.00, 2 Tb 2.98
Au  0.3778  0.1716  0.7555  1 Ga 2.55, 1 Au 2.80
Au  0.6226  0.4160  0.2451  1 Ga 2.55, 1 Au 2.80
Au  0.0000  0.7233  0.0000  7 Au 2.93-3.03, 2 Tb 3.06, 2 Ga 3.15

# 2
Here is a geometry-optimized TbGaAu structure from Alexandria. Energies are from PBE.

Values from the calculation:
Crystal system: orthorhombic
Calculated formation energy, eV per formula unit: -1.28

Cell: 5.9065 5.9065 8.6394 Å, 90.00 90.00 93.81°
With the nearest neighbours (Å) after each atom.
Atoms (fractional coordinates):
Ga  0.0893  0.0893  0.2986  3 Au 2.48-2.64
Ga  0.5893  0.5893  0.2014  3 Au 2.48-2.64
Ga  0.4107  0.4107  0.7986  3 Au 2.48-2.64
Ga  0.9107  0.9107  0.7014  3 Au 2.48-2.64
Tb  0.2108  0.7892  0.0000  4 Au 3.04-3.10, 4 Ga 3.13-3.24
Tb  0.7892  0.2108  0.0000  4 Au 3.04-3.10, 4 Ga 3.13-3.24
Tb  0.7108  0.2892  0.5000  4 Au 3.04-3.10, 4 Ga 3.13-3.24
Tb  0.2892  0.7108  0.5000  4 Au 3.04-3.10, 4 Ga 3.13-3.24
Au  0.2886  0.2886  0.0804  3 Ga 2.48-2.64
Au  0.2114  0.2114  0.5804  3 Ga 2.48-2.64
Au  0.7114  0.7114  0.9196  3 Ga 2.48-2.64
Au  0.7886  0.7886  0.4196  3 Ga 2.48-2.64

# 3
Here is a geometry-optimized TbGaAu2 structure from Alexandria. Energies are from PBE.

Values from the calculation:
Crystal system: tetragonal
Calculated formation energy, eV per formula unit: -2.23

Cell: 3.6482 3.6482 6.3166 Å, 90.00 90.00 90.00°
With the nearest neighbours (Å) after each atom.
Atoms (fractional coordinates):
Tb  0.5000  0.5000  0.5000  8 Au 3.05, 2 Ga 3.16
Au  0.0000  0.0000  0.7589  4 Ga 3.00, 2 Au 3.05-3.27, 4 Tb 3.05
Au  0.0000  0.0000  0.2411  4 Ga 3.00, 2 Au 3.05-3.27, 4 Tb 3.05
Ga  0.5000  0.5000  0.0000  8 Au 3.00, 2 Tb 3.16

# 4
Here is a geometry-optimized Tb7Ga2Au2 structure from Alexandria. Energies are from PBE.

Values from the calculation:
Crystal system: orthorhombic
Calculated formation energy, eV per formula unit: -3.35

Cell: 6.7410 7.2747 6.7410 Å, 90.00 108.71 90.00°
With the nearest neighbours (Å) after each atom.
Atoms (fractional coordinates):
Tb  0.0000  0.2757  0.4998  2 Au 2.85
Tb  0.4998  0.7243  0.0000  2 Au 2.85
Tb  0.0000  0.7243  0.5002  2 Au 2.85
Tb  0.5002  0.2757  0.0000  2 Au 2.85
Tb  0.0000  0.0000  0.0000  2 Au 3.20
Tb  0.4999  0.7357  0.5001  2 Au 2.98, 2 Ga 3.14
Tb  0.5001  0.2643  0.4999  2 Au 2.98, 2 Ga 3.14
Ga  0.8342  0.5000  0.8342  1 Ga 2.60
Ga  0.1658  0.5000  0.1658  1 Ga 2.60
Au  0.7079  0.9999  0.2921  6 Tb 2.85-2.98
Au  0.2921  0.0001  0.7079  6 Tb 2.85-2.98